Na2PmHg4 | GGA-PBE | optimized geometry

mass density	7.742	g/cm3
ΔE_f	-0.16	eV per atom
crystal system	monoclinic

a = 8.5559 Å, b = 5.3430 Å, c = 9.3698 Å
α = 90.00°, β = 95.84°, γ = 90.00°
Space group C2/m (No. 12)
Symmetry-distinct sites (fractional):
Na 0.1692 0.0000 0.4097 (multiplicity 4)
Pm 0.0000 0.5000 0.0000 (multiplicity 2)
Hg 0.1632 0.0000 0.0950 (multiplicity 4)
Hg 0.1883 0.0000 0.7512 (multiplicity 4)


KYBe | GGA-PBE | optimized geometry

mass density	2.316	g/cm3
polymorph energy (0 for the lowest one)	0.62	eV/f.u.
ΔE_f	0.70	eV per atom
crystal system	trigonal

a = 3.7303 Å, b = 3.7303 Å, c = 8.1509 Å
α = 90.00°, β = 90.00°, γ = 120.00°
Space group P3m1 (No. 156)
Symmetry-distinct sites (fractional):
K 0.0000 0.0000 0.0000 (multiplicity 1)
Y 0.6667 0.3333 0.4681 (multiplicity 1)
Be 0.3333 0.6667 0.6848 (multiplicity 1)


Fe3Ge7 | GGA-PBE | optimized geometry

mass density	7.535	g/cm3
ΔE_f	-0.06	eV per atom
crystal system	cubic

a = 8.4152 Å, b = 8.4152 Å, c = 8.4152 Å
α = 90.00°, β = 90.00°, γ = 90.00°
Space group Im-3m (No. 229)
Symmetry-distinct sites (fractional):
Fe 0.0000 0.0000 0.3452 (multiplicity 12)
Ge 0.0000 0.2500 0.5000 (multiplicity 12)
Ge 0.1599 0.1599 0.1599 (multiplicity 16)


Be2ZnInS | GGA-PBE | optimized geometry

mass density	3.331	g/cm3
raw formation energy	0.9834	eV/atom
crystal system	tetragonal

a = 4.4752 Å, b = 4.4752 Å, c = 5.7323 Å
α = 90.00°, β = 90.00°, γ = 90.00°
Space group P4/mmm (No. 123)
Symmetry-distinct sites (fractional):
Be 0.0000 0.5000 0.0000 (multiplicity 2)
Zn 0.0000 0.0000 0.5000 (multiplicity 1)
In 0.5000 0.5000 0.0000 (multiplicity 1)
S 0.5000 0.5000 0.5000 (multiplicity 1)


HoNiCl | GGA-PBE | optimized geometry

mass density	6.100	g/cm3
raw formation energy	-1.2542	eV/atom
crystal system	monoclinic

a = 6.8077 Å, b = 3.9300 Å, c = 10.7912 Å
α = 90.00°, β = 102.29°, γ = 90.00°
Space group C2/m (No. 12)
Symmetry-distinct sites (fractional):
Ho 0.0588 0.0000 0.1740 (multiplicity 4)
Ni 0.1619 0.5000 0.9859 (multiplicity 4)
Cl 0.2203 0.0000 0.6651 (multiplicity 4)


Ba4Cd5Pt2 | GGA-PBE | optimized geometry

mass density	6.769	g/cm3
ΔE_f	-0.44	eV per atom
crystal system	monoclinic

a = 8.0763 Å, b = 4.6464 Å, c = 9.8267 Å
α = 90.00°, β = 92.76°, γ = 90.00°
Space group P2/m (No. 10)
Symmetry-distinct sites (fractional):
Ba 0.2049 0.0000 0.1588 (multiplicity 2)
Ba 0.2276 0.0000 0.6040 (multiplicity 2)
Cd 0.1349 0.5000 0.8780 (multiplicity 2)
Cd 0.4140 0.5000 0.3642 (multiplicity 2)
Cd 0.5000 0.5000 0.0000 (multiplicity 1)
Pt 0.0633 0.5000 0.3704 (multiplicity 2)


MnP2Se | GGA-PBE | optimized geometry

mass density	5.412	g/cm3
raw formation energy	0.5178	eV/atom
crystal system	cubic

a = 6.2176 Å, b = 6.2176 Å, c = 6.2176 Å
α = 90.00°, β = 90.00°, γ = 90.00°
Space group F-43m (No. 216)
Symmetry-distinct sites (fractional):
Mn 0.0000 0.0000 0.0000 (multiplicity 4)
P 0.0000 0.0000 0.5000 (multiplicity 4)
P 0.2500 0.2500 0.7500 (multiplicity 4)
Se 0.2500 0.2500 0.2500 (multiplicity 4)


Tl2CdGaTe4 | GGA-PBE | optimized geometry

mass density	7.183	g/cm3
raw formation energy	-0.2828	eV/atom
crystal system	tetragonal

a = 8.3281 Å, b = 8.3281 Å, c = 7.3414 Å
α = 90.00°, β = 90.00°, γ = 90.00°
Space group I-42m (No. 121)
Symmetry-distinct sites (fractional):
Tl 0.0000 0.5000 0.0000 (multiplicity 4)
Cd 0.0000 0.0000 0.0000 (multiplicity 2)
Ga 0.0000 0.0000 0.5000 (multiplicity 2)
Te 0.1774 0.1774 0.2719 (multiplicity 8)